#a
Compound: NdHo2Ge
Source: Alexandria via LeMat-Bulk
Functional: GGA-PBE
Structure: optimized geometry

Computed properties:
Space-group type = R3m
Spin magnetization = 0.00 μB/cell
Mass density = 7605 kg/m³

Cell: 9.9966 9.9966 9.9966 Å, 21.67 21.67 21.67°
With the nearest neighbours (Å) after each atom.
Atoms (fractional coordinates):
Nd 0.0000 0.0000 0.0000  6 Ho 3.68-3.72, 6 Nd 3.76
Ho 0.5633 0.5633 0.5633  3 Ge 2.88
Ho 0.7680 0.7680 0.7680  3 Ge 2.87
Ge 0.1654 0.1654 0.1654  6 Ho 2.87-2.88

***

#b
Compound: NdHo2Ge
Source: Alexandria via LeMat-Bulk
Functional: GGA-PBE
Structure: optimized geometry

Computed properties:
Space-group type = R-3m
Spin magnetization = 0.00 μB/cell
Mass density = 7480 kg/m³

Cell: 11.1800 11.1800 11.1800 Å, 18.38 18.38 18.38°
With the nearest neighbours (Å) after each atom.
Atoms (fractional coordinates):
Nd 0.0000 0.0000 0.0000  2 Ho 3.48, 6 Nd 3.57
Ho 0.1057 0.1057 0.1057  3 Ge 2.88
Ho 0.8943 0.8943 0.8943  3 Ge 2.88
Ge 0.5000 0.5000 0.5000  6 Ho 2.88

***

What should be chosen as the most stable of them? Choose #a.

***

#a
Compound: NdHoGePt
Source: Alexandria via LeMat-Bulk
Functional: GGA-PBE
Structure: optimized geometry

Computed properties:
Space-group type = Amm2
Spin magnetization = 0.00 μB/cell
Mass density = 10056 kg/m³

Cell: 4.2793 5.8991 5.8991 Å, 39.77 90.00 90.00°
With the nearest neighbours (Å) after each atom.
Atoms (fractional coordinates):
Nd 0.0000 0.0000 0.0000  3 Pt 3.02-3.23, 4 Ge 3.02
Ho 0.5000 0.2773 0.2773  4 Pt 2.98, 3 Ge 3.08-3.21
Ge 0.5000 0.5661 0.5661  2 Pt 2.79, 4 Nd 3.02, 2 Ho 3.08
Pt 0.0000 0.7279 0.7279  2 Ge 2.79, 4 Ho 2.98, 1 Nd 3.02

***

#b
Compound: NdHoGePt
Source: Alexandria via LeMat-Bulk
Functional: GGA-PBE
Structure: optimized geometry

Computed properties:
Space-group type = F-43m
Spin magnetization = 0.00 μB/cell
Mass density = 10308 kg/m³

Cell: 5.0842 5.0842 5.0842 Å, 60.00 60.00 60.00°
With the nearest neighbours (Å) after each atom.
Atoms (fractional coordinates):
Nd 0.0000 0.0000 0.0000  4 Ge 3.11, 4 Pt 3.11
Ho 0.5000 0.5000 0.5000  4 Pt 3.11, 4 Ge 3.11
Ge 0.2500 0.2500 0.2500  4 Ho 3.11, 4 Nd 3.11
Pt 0.7500 0.7500 0.7500  4 Ho 3.11, 4 Nd 3.11

***

What should be chosen as the most stable of them? Choose #a.